# Ni2Sn2Au (PBE-GGA, relaxed)
# * polymorph energy (0 for the lowest one): 171 meV/atom
# * calculated formation energy: 4.7 kJ per mole of atoms
data_Ni2Sn2Au
_symmetry_space_group_name_H-M 'I 4/m m m'
_symmetry_Int_Tables_number 139
_symmetry_space_group_name_Hall '-I 4 2'
_cell_length_a 3.4371
_cell_length_b 3.4371
_cell_length_c 15.6803
_cell_angle_alpha 90.00
_cell_angle_beta 90.00
_cell_angle_gamma 90.00
loop_
_atom_site_label
_atom_site_type_symbol
_atom_site_fract_x
_atom_site_fract_y
_atom_site_fract_z
_atom_site_occupancy
Ni1 Ni 0.0000 0.5000 0.2500 1
Sn1 Sn 0.0000 0.0000 0.1211 1
Au1 Au 0.0000 0.0000 0.5000 1